Record 1
Density functional theory data (GGA-PBE) for a geometry-optimized LiNd2CuPd2 structure.

## Properties
Formation energy from the elements: -0.519 eV/atom

abc: 5.821 14.679 5.920
angles: 90.00 90.00 90.00
Space group Ibam (No. 72)
Asymmetric unit:
1 Li 0.000 0.000 0.250 (multiplicity 4)
2 Nd 0.238 0.336 0.000 (multiplicity 8)
3 Cu 0.000 0.500 0.250 (multiplicity 4)
4 Pd 0.243 0.121 0.000 (multiplicity 8)

---

Record 2
Density functional theory data (GGA-PBE) for a geometry-optimized Li2NdCuPd4 structure.

## Properties
Formation energy from the elements: -0.471 eV/atom

abc: 4.3206 4.3206 24.6185
angles: 90.00 90.00 120.00
Space group R-3m (No. 166, hexagonal axes)
Asymmetric unit:
1 Li 0.0000 0.0000 0.2330 (multiplicity 6)
2 Nd 0.0000 0.0000 0.0000 (multiplicity 3)
3 Cu 0.0000 0.0000 0.5000 (multiplicity 3)
4 Pd 0.0000 0.0000 0.1276 (multiplicity 6)
5 Pd 0.0000 0.0000 0.3971 (multiplicity 6)

---

Record 3
Density functional theory data (GGA-PBE) for a geometry-optimized LiNd2Cu2Pd5 structure.

## Properties
Formation energy from the elements: -0.551 eV/atom

abc: 9.513 9.513 3.955
angles: 90.00 90.00 90.00
Space group P4/mbm (No. 127)
Asymmetric unit:
1 Li 0.000 0.000 0.000 (multiplicity 2)
2 Nd 0.179 0.321 0.000 (multiplicity 4)
3 Cu 0.118 0.618 0.000 (multiplicity 4)
4 Pd 0.000 0.500 0.500 (multiplicity 2)
5 Pd 0.066 0.796 0.500 (multiplicity 8)

---

Record 4
Density functional theory data (GGA-PBE) for a geometry-optimized LiPrNdCu structure.

## Properties
Formation energy from the elements: 0.025 eV/atom

abc: 7.373 7.373 7.373
angles: 90.00 90.00 90.00
Space group F-43m (No. 216)
Asymmetric unit:
1 Li 0.000 0.000 0.000 (multiplicity 4)
2 Pr 0.250 0.250 0.250 (multiplicity 4)
3 Nd 0.250 0.250 0.750 (multiplicity 4)
4 Cu 0.000 0.000 0.500 (multiplicity 4)